Record 1
The following is a DFT calculation (PBE) of crystalline MgMnGa2 at its relaxed geometry.

The structure in POSCAR format:
```
MgMnGa2
1.0
1.489 0.860 8.688
-1.489 0.860 8.688
0.000 -1.719 8.688
Mg Mn Ga
1 1 2
direct
0.000 0.000 0.000 Mg
0.500 0.500 0.500 Mn
0.243 0.243 0.243 Ga
0.757 0.757 0.757 Ga
```

For the spin magnetization, the calculation gives 2.834 μB/f.u. The formation energy is -0.007 eV per atom. The density of states at the Fermi level is 3.0 states/eV/f.u.

***

Record 2
The following is a DFT calculation (PBE) of crystalline MgMnGa at its relaxed geometry.

The structure in POSCAR format:
```
MgMnGa
1.0
4.395 0.000 0.000
-2.198 3.806 0.000
0.000 0.000 2.981
Mg Mn Ga
1 1 1
direct
0.000 0.000 0.000 Mg
0.333 0.667 0.453 Mn
0.667 0.333 0.608 Ga
```

For the spin magnetization, the calculation gives 3.150 μB/f.u. The formation energy is 0.053 eV per atom. The density of states at the Fermi level is 1.4 states/eV/f.u.

***

Record 3
The following is a DFT calculation (PBE) of crystalline Mg2MnGa at its relaxed geometry.

The structure in POSCAR format:
```
Mg2MnGa
1.0
1.480 0.854 10.397
-1.480 0.854 10.397
0.000 -1.709 10.397
Mg Mn Ga
2 1 1
direct
0.089 0.089 0.089 Mg
0.911 0.911 0.911 Mg
0.000 0.000 0.000 Mn
0.500 0.500 0.500 Ga
```

For the spin magnetization, the calculation gives 3.998 μB/f.u. The formation energy is 0.329 eV per atom. The density of states at the Fermi level is 2.0 states/eV/f.u.

***

Record 4
The following is a DFT calculation (PBE) of crystalline MgMnGa2 at its relaxed geometry.

The structure in POSCAR format:
```
MgMnGa2
1.0
1.491 0.861 8.714
-1.491 0.861 8.714
0.000 -1.721 8.714
Mg Mn Ga
1 1 2
direct
0.000 0.000 0.000 Mg
0.834 0.834 0.834 Mn
0.244 0.244 0.244 Ga
0.424 0.424 0.424 Ga
```

For the spin magnetization, the calculation gives 3.123 μB/f.u. The formation energy is 0.000 eV per atom. The density of states at the Fermi level is 2.8 states/eV/f.u.

***

Record 5
The following is a DFT calculation (PBE) of crystalline Mg2Mn2Ga at its relaxed geometry.

The structure in POSCAR format:
```
Mg2Mn2Ga
1.0
6.118 0.000 0.000
0.000 6.118 0.000
0.000 0.000 4.337
Mg Mn Ga
4 4 2
direct
0.173 0.327 0.000 Mg
0.327 0.827 0.000 Mg
0.673 0.173 0.000 Mg
0.827 0.673 0.000 Mg
0.118 0.618 0.500 Mn
0.382 0.118 0.500 Mn
0.618 0.882 0.500 Mn
0.882 0.382 0.500 Mn
0.000 0.000 0.500 Ga
0.500 0.500 0.500 Ga
```

For the spin magnetization, the calculation gives 2.383 μB/f.u. The formation energy is 0.140 eV per atom. The density of states at the Fermi level is 3.6 states/eV/f.u.

***

Record 6
The following is a DFT calculation (PBE) of crystalline Mg3MnGa at its relaxed geometry.

The structure in POSCAR format:
```
Mg3MnGa
1.0
5.109 0.000 0.000
0.000 5.109 0.000
0.000 0.000 5.109
Mg Mn Ga
3 1 1
direct
0.000 0.000 0.500 Mg
0.000 0.500 0.000 Mg
0.500 0.000 0.000 Mg
0.000 0.000 0.000 Mn
0.500 0.500 0.500 Ga
```

For the spin magnetization, the calculation gives 3.353 μB/f.u. The formation energy is 0.651 eV per atom. The density of states at the Fermi level is 3.9 states/eV/f.u.

***

Record 7
The following is a DFT calculation (PBE) of crystalline MgMnGa2 at its relaxed geometry.

The structure in POSCAR format:
```
MgMnGa2
1.0
2.886 0.000 0.000
0.000 2.886 0.000
0.000 0.000 7.784
Mg Mn Ga
1 1 2
direct
0.000 0.000 0.000 Mg
0.000 0.000 0.500 Mn
0.500 0.500 0.278 Ga
0.500 0.500 0.722 Ga
```

For the spin magnetization, the calculation gives 3.162 μB/f.u. The formation energy is -0.073 eV per atom. The density of states at the Fermi level is 2.3 states/eV/f.u.

***

Record 8
The following is a DFT calculation (PBE) of crystalline Mg3MnGa at its relaxed geometry.

The structure in POSCAR format:
```
Mg3MnGa
1.0
5.037 0.000 0.000
0.000 5.037 0.000
0.000 0.000 5.037
Mg Mn Ga
3 1 1
direct
0.000 0.000 0.500 Mg
0.000 0.500 0.000 Mg
0.500 0.000 0.000 Mg
0.500 0.500 0.500 Mn
0.000 0.000 0.000 Ga
```

For the spin magnetization, the calculation gives 4.277 μB/f.u. The formation energy is 0.525 eV per atom. The density of states at the Fermi level is 3.4 states/eV/f.u.